1.
# Pu2InN (PBE-GGA, optimized geometry)
data_Pu2InN
_chemical_formula_sum 'Pu6 In3 N3'
_cell_length_a 3.4330
_cell_length_b 3.4330
_cell_length_c 25.6574
_cell_angle_alpha 90.00
_cell_angle_beta 90.00
_cell_angle_gamma 120.00
_space_group_name_H-M_alt 'R -3 m'
_space_group_IT_number 166
_space_group_name_Hall '-R 3 2"'
loop_
_atom_site_label
_atom_site_fract_x
_atom_site_fract_y
_atom_site_fract_z
Pu1 0.0000 0.0000 0.2217
In1 0.0000 0.0000 0.0000
N1 0.0000 0.0000 0.5000
# formation energy without anion corrections: -0.61 eV/atom

***

2.
# TbZn4Au (PBE-GGA, optimized geometry)
data_TbZn4Au
_chemical_formula_sum 'Tb4 Zn16 Au4'
_cell_length_a 4.0865
_cell_length_b 16.1105
_cell_length_c 6.7245
_cell_angle_alpha 90.00
_cell_angle_beta 90.00
_cell_angle_gamma 90.00
_space_group_name_H-M_alt 'C m c m'
_space_group_IT_number 63
_space_group_name_Hall '-C 2c 2'
loop_
_atom_site_label
_atom_site_fract_x
_atom_site_fract_y
_atom_site_fract_z
Tb1 0.0000 0.1178 0.2500
Zn1 0.0000 0.0698 0.7500
Zn2 0.0000 0.3366 0.0582
Zn3 0.0000 0.5000 0.0000
Au1 0.0000 0.2371 0.7500
# offset from the most stable computed form: 0.0 meV/atom
# formation energy from the elements: -326 meV/atom

***

It is found that the total DFT energy (no corrections) values, taken in the order of the records, are -10.543, -2.493 eV/atom.